Record 1
VASP calculation (PBE) on a relaxed structure of Pm6TiO12.

The space group is R-3 (No. 148, hexagonal axes) and the conventional cell measures 10.0928, 10.0928 and 9.6143 Å, with angles of 90.00, 90.00 and 120.00 degrees. Symmetry generates all atoms from Pm at (0.0564, 0.2649, 0.1542), Ti at (0.0000, 0.0000, 0.5000), O at (0.0415, 0.1899, 0.3935) and O at (0.0419, 0.2262, 0.9034).

For the total energy, the calculation gives -155.34 eV per formula unit. The total magnetization comes out at 6.51 Bohr magnetons per cell. Its volume is 14.88 Å³ per atom. The calculation puts the formation energy without anion corrections at -59.44 eV per formula unit.



Record 2
VASP calculation (PBE) on a relaxed structure of YPa2Se6.

The space group is C2/m (No. 12) and the conventional cell measures 18.140, 4.181 and 8.438 Å, with angles of 90.00, 103.89 and 90.00 degrees. Symmetry generates all atoms from Y at (0.000, 0.000, 0.000), Pa at (0.165, 0.500, 0.325), Se at (0.009, 0.500, 0.238), Se at (0.165, 0.000, 0.101) and Se at (0.173, 0.000, 0.560).

For the total energy, the calculation gives -59.70 eV per formula unit. The total magnetization comes out at 2.15 Bohr magnetons per cell. Its volume is 34.51 Å³ per atom. The calculation puts the formation energy without anion corrections at -13.34 eV per formula unit. The calculation puts the energy above the lowest structure with this stoichiometry at 0.00 kcal/mol of atoms.



Record 3
VASP calculation (PBE) on a relaxed structure of KRbTlTc2.

The space group is P4/mmm (No. 123) and the conventional cell measures 5.831, 5.831 and 6.232 Å, with angles of 90.00, 90.00 and 90.00 degrees. Symmetry generates all atoms from K at (0.000, 0.000, 0.000), Rb at (0.500, 0.500, 0.500), Tl at (0.500, 0.500, 0.000) and Tc at (0.000, 0.500, 0.500).

For the total energy, the calculation gives -13.67 eV per formula unit. The formation energy comes out at 11.50 eV per formula unit. The total magnetization comes out at 7.29 Bohr magnetons per cell. Its volume is 42.37 Å³ per atom.



Record 4
VASP calculation (PBE) on a relaxed structure of Zn4InRu.

The space group is F-43m (No. 216) and the conventional cell measures 7.138, 7.138 and 7.138 Å, with angles of 90.00, 90.00 and 90.00 degrees. Symmetry generates all atoms from Zn at (0.124, 0.124, 0.376), In at (0.000, 0.000, 0.000) and Ru at (0.250, 0.250, 0.750).

For the total energy, the calculation gives -16.64 eV per formula unit. The formation energy comes out at 0.47 eV per formula unit. The total magnetization comes out at 0.00 Bohr magnetons per cell. Its volume is 15.15 Å³ per atom.



Record 5
VASP calculation (PBE) on a relaxed structure of CuCSN.

The space group is P1 (No. 1) and the conventional cell measures 3.955, 4.111 and 5.777 Å, with angles of 107.75, 108.53 and 92.14 degrees. Symmetry generates all atoms from Cu at (0.000, 0.000, 0.000), C at (0.163, 0.329, 0.328), S at (0.415, 0.830, 0.831) and N at (0.267, 0.538, 0.538).

For the total energy, the calculation gives -24.15 eV per formula unit. The total magnetization comes out at 0.00 Bohr magnetons per cell. Its volume is 20.97 Å³ per atom. The calculation puts the formation energy without anion corrections at 1.63 eV per formula unit. The calculation puts the energy above the lowest structure with this stoichiometry at 5.85 kcal/mol of atoms.



Record 6
VASP calculation (PBE) on a relaxed structure of La2InRe.

The space group is Cmm2 (No. 35) and the conventional cell measures 3.570, 5.429 and 10.762 Å, with angles of 90.00, 90.00 and 90.00 degrees. Symmetry generates all atoms from La at (0.000, 0.000, 0.000), La at (0.000, 0.500, 0.337), In at (0.000, 0.500, 0.738) and Re at (0.000, 0.000, 0.540).

For the total energy, the calculation gives -23.37 eV per formula unit. The formation energy comes out at 1.67 eV per formula unit. The total magnetization comes out at 0.00 Bohr magnetons per cell. Its volume is 26.07 Å³ per atom.



Record 7
VASP calculation (PBE) on a relaxed structure of Be2FeWC.

The space group is P4/mmm (No. 123) and the conventional cell measures 3.916, 3.916 and 3.501 Å, with angles of 90.00, 90.00 and 90.00 degrees. Symmetry generates all atoms from Be at (0.000, 0.500, 0.000), Fe at (0.000, 0.000, 0.000), W at (0.500, 0.500, 0.500) and C at (0.000, 0.000, 0.500).

For the total energy, the calculation gives -32.63 eV per formula unit. The formation energy comes out at 5.46 eV per formula unit. The total magnetization comes out at 0.47 Bohr magnetons per cell. Its volume is 10.74 Å³ per atom.



Record 8
VASP calculation (PBE) on a relaxed structure of Y2Mg2Ag.

The space group is Immm (No. 71) and the conventional cell measures 3.601, 3.629 and 19.557 Å, with angles of 90.00, 90.00 and 90.00 degrees. Symmetry generates all atoms from Y at (0.000, 0.000, 0.092), Mg at (0.000, 0.000, 0.294) and Ag at (0.000, 0.000, 0.500).

For the total energy, the calculation gives -19.78 eV per formula unit. The formation energy comes out at -0.81 eV per formula unit. The total magnetization comes out at 0.00 Bohr magnetons per cell. Its volume is 25.56 Å³ per atom. The calculation puts the energy above the lowest structure with this stoichiometry at 0.00 kcal/mol of atoms.



Record 9
VASP calculation (PBE) on a relaxed structure of Cd11InPb.

The space group is C2/m (No. 12) and the conventional cell measures 6.190, 14.088 and 7.764 Å, with angles of 90.00, 110.28 and 90.00 degrees. Symmetry generates all atoms from Cd at (0.000, 0.000, 0.000), Cd at (0.101, 0.108, 0.713), Cd at (0.179, 0.323, 0.849), Cd at (0.250, 0.250, 0.500), In at (0.000, 0.500, 0.000) and Pb at (0.000, 0.500, 0.500).

For the total energy, the calculation gives -15.75 eV per formula unit. The formation energy comes out at 0.76 eV per formula unit. The total magnetization comes out at 0.00 Bohr magnetons per cell. Its volume is 24.43 Å³ per atom.



Record 10
VASP calculation (PBE) on a relaxed structure of SmY6Ho3Th2.

The space group is C2/m (No. 12) and the conventional cell measures 6.194, 10.719 and 11.784 Å, with angles of 90.00, 100.09 and 90.00 degrees. Symmetry generates all atoms from Sm at (0.000, 0.000, 0.000), Y at (0.246, 0.500, 0.249), Y at (0.248, 0.331, 0.751), Ho at (0.000, 0.166, 0.500), Ho at (0.000, 0.500, 0.500) and Th at (0.000, 0.333, 0.000).

For the total energy, the calculation gives -71.70 eV per formula unit. The formation energy comes out at 0.38 eV per formula unit. The total magnetization comes out at 0.00 Bohr magnetons per cell. Its volume is 32.09 Å³ per atom.



Record 11
VASP calculation (PBE) on a relaxed structure of Ba2Tl4Cd3Hg.

The space group is P-4m2 (No. 115) and the conventional cell measures 5.102, 5.102 and 12.217 Å, with angles of 90.00, 90.00 and 90.00 degrees. Symmetry generates all atoms from Ba at (0.000, 0.500, 0.245), Tl at (0.000, 0.000, 0.500), Tl at (0.000, 0.500, 0.868), Tl at (0.500, 0.500, 0.500), Cd at (0.000, 0.000, 0.000), Cd at (0.000, 0.500, 0.633) and Hg at (0.500, 0.500, 0.000).

For the total energy, the calculation gives -18.91 eV per formula unit. The formation energy comes out at -2.55 eV per formula unit. The total magnetization comes out at 0.00 Bohr magnetons per cell. Its volume is 31.80 Å³ per atom.



Record 12
VASP calculation (PBE) on a relaxed structure of PrPuBeO6.

The space group is P312 (No. 149) and the conventional cell measures 5.0895, 5.0895 and 5.2850 Å, with angles of 90.00, 90.00 and 120.00 degrees. Symmetry generates all atoms from Pr at (0.0000, 0.0000, 0.0000), Pu at (0.3333, 0.6667, 0.5000), Be at (0.6667, 0.3333, 0.5000) and O at (0.3729, 0.0159, 0.7070).

For the total energy, the calculation gives -75.41 eV per formula unit. The total magnetization comes out at 1.00 Bohr magnetons per cell. Its volume is 13.17 Å³ per atom. The calculation puts the formation energy without anion corrections at -22.82 eV per formula unit.